[1]
Compound: CdSi2Au2
Source: Alexandria
Functional: PBE
Structure: optimized geometry

Computed properties:
raw formation energy: 0.110 eV/atom
symmetry: I4/mmm (139)
magnetization: 0.000 μB per cell
crystal system: tetragonal

a b c (Å): 4.411 4.411 5.847
angles (deg): 67.84 67.84 90.00
Sites, in units of the cell vectors:
Au 0.750 0.250 0.500
Au 0.250 0.750 0.500
Cd 0.000 0.000 0.000
Si 0.382 0.382 0.235
Si 0.618 0.618 0.765

---

[2]
Compound: CdSi2Au2
Source: Alexandria
Functional: PBE
Structure: optimized geometry

Computed properties:
raw formation energy: 0.118 eV/atom
symmetry: I4/mmm (139)
magnetization: 0.000 μB per cell
crystal system: tetragonal

a b c (Å): 3.780 3.780 7.025
angles (deg): 74.39 74.39 90.00
Sites, in units of the cell vectors:
Si 0.750 0.250 0.500
Si 0.250 0.750 0.500
Cd 0.000 0.000 0.000
Au 0.393 0.393 0.214
Au 0.607 0.607 0.786

---

[3]
Compound: Cd2SiAu
Source: Alexandria
Functional: PBE
Structure: optimized geometry

Computed properties:
raw formation energy: 0.153 eV/atom
symmetry: C2/m (12)
magnetization: 0.000 μB per cell
crystal system: monoclinic

a b c (Å): 5.247 6.819 2.968
angles (deg): 64.51 89.82 121.88
Sites, in units of the cell vectors:
Au 0.500 0.000 0.500
Cd 0.000 0.500 0.500
Cd 0.000 0.000 0.000
Si 0.500 0.500 0.000